Entry 1:
CdPdCl2 | GGA-PBE | relaxed

Cell: 4.7776 4.7776 4.7776 Å, 60.00 60.00 60.00°
With the nearest neighbours (Å) after each atom.
Fractional coordinates of all 4 atoms:
Cl: 0.2500 0.2500 0.2500  4 Cd 2.93, 4 Pd 2.93
Cl: 0.7500 0.7500 0.7500  4 Cd 2.93, 4 Pd 2.93
Pd: 0.0000 0.0000 0.0000  8 Cl 2.93
Cd: 0.5000 0.5000 0.5000  8 Cl 2.93

Results
As for the symmetry: Fm-3m. The raw formation energy comes out at -179 meV/atom.

---

Entry 2:
CdPdCl3 | GGA-PBE | relaxed

Cell: 4.8999 4.8999 4.8999 Å, 90.00 90.00 90.00°
With the nearest neighbours (Å) after each atom.
Fractional coordinates of all 5 atoms:
Cl: 0.0000 0.5000 0.0000  2 Pd 2.45
Cl: 0.0000 0.0000 0.5000  2 Pd 2.45
Cl: 0.5000 0.0000 0.0000  2 Pd 2.45
Pd: 0.0000 0.0000 0.0000  6 Cl 2.45
Cd: 0.5000 0.5000 0.5000  12 Cl 3.46

Results
As for the symmetry: Pm-3m. The raw formation energy comes out at -341 meV/atom.

---

Entry 3:
CdPdCl2 | GGA-PBE | relaxed

Cell: 7.1520 7.1520 6.0261 Å, 53.60 53.60 90.00°
With the nearest neighbours (Å) after each atom.
Fractional coordinates of all 8 atoms:
Cl: 0.6120 0.1250 0.2500  2 Pd 2.60, 2 Cd 2.72
Cl: 0.1380 0.6250 0.2500  2 Pd 2.60, 2 Cd 2.72
Cl: 0.3750 0.3880 0.7500  2 Pd 2.60, 2 Cd 2.72
Cl: 0.8750 0.8620 0.7500  2 Pd 2.60, 2 Cd 2.72
Pd: 0.5000 0.5000 0.0000  4 Cl 2.60
Pd: 0.2500 0.7500 0.5000  4 Cl 2.60
Cd: 0.0000 0.0000 0.0000  4 Cl 2.72
Cd: 0.7500 0.2500 0.5000  4 Cl 2.72

Results
As for the symmetry: I-42d. The raw formation energy comes out at -259 meV/atom.

---

no.,calculated total energy (eV per atom)
1,-2.6292
2,-2.6703
3,-2.7096